(1)
DFT (PBE) results for a geometry-optimized CdCoNiMo2 structure.

Structure (POSCAR):
```
CdCoNiMo2
1.0
4.8637 0.0000 0.0000
0.0000 4.8637 0.0000
0.0000 0.0000 4.4839
Cd Co Ni Mo
1 1 1 2
direct
0.0000 0.0000 0.0000
0.0000 0.0000 0.5000
0.5000 0.5000 0.5000
0.0000 0.5000 0.0000
0.5000 0.0000 0.0000
```

**Energy relative to the elements**: 2.65 eV per atom
**Symmetry**: P4/mmm (123)

=====

(2)
DFT (PBE) results for a geometry-optimized CdCoNiMo2 structure.

Structure (POSCAR):
```
CdCoNiMo2
1.0
4.4832 0.0000 0.0000
0.0000 4.4832 0.0000
0.0000 0.0000 4.3697
Cd Co Ni Mo
1 1 1 2
direct
0.0000 0.0000 0.0000
0.5000 0.5000 0.0000
0.5000 0.5000 0.5000
0.0000 0.5000 0.5000
0.5000 0.0000 0.5000
```

**Energy relative to the elements**: 1.19 eV per atom
**Symmetry**: P4/mmm (123)

=====

Asked for calculated volume across the records above, the calculation gives 21.2, 17.6 A^3/atom in order.
Asked for energy relative to the lowest polymorph listed for this composition across the records above, the calculation gives 1455, 0 meV per atom in order.
Asked for total energy across the records above, the calculation gives -4.4468, -5.9015 eV per atom in order.